1.
Below is a relaxed structure of Pm2Ho6Tm, with properties calculated at the PBE-GGA level.

Lattice parameters (Å, degrees): 10.6286 10.6286 5.0284 90.00 90.00 90.00
Last column: nearest neighbours and their distance in Å.
Element x y z (fractional)
Pm  0.1661  0.1661  0.0000  10 Ho 3.54-3.56, 2 Tm 3.54
Pm  0.3339  0.6661  0.5000  10 Ho 3.54-3.56, 2 Tm 3.54
Pm  0.6661  0.3339  0.5000  10 Ho 3.54-3.56, 2 Tm 3.54
Pm  0.8339  0.8339  0.0000  10 Ho 3.54-3.56, 2 Tm 3.54
Ho  0.0006  0.3338  0.5000  8 Ho 3.53-3.55, 1 Tm 3.55, 3 Pm 3.55-3.56
Ho  0.1662  0.5006  0.0000  8 Ho 3.53-3.55, 1 Tm 3.55, 3 Pm 3.55-3.56
Ho  0.1667  0.8333  0.0000  6 Ho 3.54-3.55, 4 Pm 3.54-3.55, 2 Tm 3.55
Ho  0.3333  0.3333  0.5000  6 Ho 3.54-3.55, 4 Pm 3.54-3.55, 2 Tm 3.55
Ho  0.3338  0.0006  0.5000  8 Ho 3.53-3.55, 1 Tm 3.55, 3 Pm 3.55-3.56
Ho  0.4994  0.8338  0.0000  8 Ho 3.53-3.55, 1 Tm 3.55, 3 Pm 3.55-3.56
Ho  0.5006  0.1662  0.0000  8 Ho 3.53-3.55, 1 Tm 3.55, 3 Pm 3.55-3.56
Ho  0.6662  0.9994  0.5000  8 Ho 3.53-3.55, 1 Tm 3.55, 3 Pm 3.55-3.56
Ho  0.6667  0.6667  0.5000  6 Ho 3.54-3.55, 4 Pm 3.54-3.55, 2 Tm 3.55
Ho  0.8333  0.1667  0.0000  6 Ho 3.54-3.55, 4 Pm 3.54-3.55, 2 Tm 3.55
Ho  0.8338  0.4994  0.0000  8 Ho 3.53-3.55, 1 Tm 3.55, 3 Pm 3.55-3.56
Ho  0.9994  0.6662  0.5000  8 Ho 3.53-3.55, 1 Tm 3.55, 3 Pm 3.55-3.56
Tm  0.0000  0.0000  0.5000  4 Pm 3.54, 8 Ho 3.55
Tm  0.5000  0.5000  0.0000  4 Pm 3.54, 8 Ho 3.55

Computed properties:
Density of states at the Fermi level, states/eV/f.u.: 11.3
E above lowest polymorph, kJ/mol of formula units: 0
DFT formation energy, eV/atom: 0.020
Crystal system: tetragonal



2.
Below is a relaxed structure of KNaOsCl2, with properties calculated at the PBE-GGA level.

Lattice parameters (Å, degrees): 4.8480 4.8480 6.2263 90.00 90.00 90.00
Last column: nearest neighbours and their distance in Å.
Element x y z (fractional)
K  0.0000  0.0000  0.0000  2 Os 3.11, 4 Na 3.43
Na  0.5000  0.5000  0.0000  4 K 3.43
Os  0.0000  0.0000  0.5000  4 Cl 2.42
Cl  0.0000  0.5000  0.5000  2 Os 2.42
Cl  0.5000  0.0000  0.5000  2 Os 2.42

Computed properties:
Density of states at the Fermi level, states/eV/f.u.: 4.5
Formation energy without anion corrections, kcal/mol of atoms: 7.12
Crystal system: tetragonal



3.
Below is a relaxed structure of DyTl2Zn2Te4, with properties calculated at the PBE-GGA level.

Lattice parameters (Å, degrees): 8.1849 8.1849 8.5432 105.30 105.30 30.52
Last column: nearest neighbours and their distance in Å.
Element x y z (fractional)
Dy  0.0000  0.0000  0.0000  6 Te 3.10-3.18, 4 Zn 3.43
Tl  0.1322  0.1322  0.5437  7 Te 3.57-3.67
Tl  0.8678  0.8678  0.4563  7 Te 3.57-3.67
Zn  0.3342  0.3342  0.0208  4 Te 2.68-2.76
Zn  0.6658  0.6658  0.9792  4 Te 2.68-2.76
Te  0.2047  0.2047  0.1829  3 Zn 2.73-2.76
Te  0.4876  0.4876  0.2533  1 Zn 2.68
Te  0.5124  0.5124  0.7467  1 Zn 2.68
Te  0.7953  0.7953  0.8171  3 Zn 2.73-2.76

Computed properties:
Density of states at the Fermi level, states/eV/f.u.: 1.7
Formation energy without anion corrections, kcal/mol of atoms: -13.47
Crystal system: monoclinic



4.
Below is a relaxed structure of BaCa2Tl, with properties calculated at the PBE-GGA level.

Lattice parameters (Å, degrees): 7.0681 7.0681 9.3502 90.00 90.00 135.08
Last column: nearest neighbours and their distance in Å.
Element x y z (fractional)
Ba  0.0575  0.9425  0.7500  3 Tl 3.62-3.97
Ba  0.9425  0.0575  0.2500  3 Tl 3.62-3.97
Ca  0.3435  0.6565  0.5541  3 Tl 3.27-3.37, 1 Ca 3.66
Ca  0.3435  0.6565  0.9459  3 Tl 3.27-3.37, 1 Ca 3.66
Ca  0.6565  0.3435  0.0541  3 Tl 3.27-3.37, 1 Ca 3.66
Ca  0.6565  0.3435  0.4459  3 Tl 3.27-3.37, 1 Ca 3.66
Tl  0.2197  0.7803  0.2500  6 Ca 3.27-3.37, 1 Ba 3.62
Tl  0.7803  0.2197  0.7500  6 Ca 3.27-3.37, 1 Ba 3.62

Computed properties:
Density of states at the Fermi level, states/eV/f.u.: 4.2
E above lowest polymorph, kJ/mol of formula units: 0
DFT formation energy, eV/atom: -0.252
Crystal system: orthorhombic



> Which of these has the lowest density of states at the Fermi level?

DyTl2Zn2Te4



Repeat the first record exactly.
Below is a relaxed structure of Pm2Ho6Tm, with properties calculated at the PBE-GGA level.

Lattice parameters (Å, degrees): 10.6286 10.6286 5.0284 90.00 90.00 90.00
Last column: nearest neighbours and their distance in Å.
Element x y z (fractional)
Pm  0.1661  0.1661  0.0000  10 Ho 3.54-3.56, 2 Tm 3.54
Pm  0.3339  0.6661  0.5000  10 Ho 3.54-3.56, 2 Tm 3.54
Pm  0.6661  0.3339  0.5000  10 Ho 3.54-3.56, 2 Tm 3.54
Pm  0.8339  0.8339  0.0000  10 Ho 3.54-3.56, 2 Tm 3.54
Ho  0.0006  0.3338  0.5000  8 Ho 3.53-3.55, 1 Tm 3.55, 3 Pm 3.55-3.56
Ho  0.1662  0.5006  0.0000  8 Ho 3.53-3.55, 1 Tm 3.55, 3 Pm 3.55-3.56
Ho  0.1667  0.8333  0.0000  6 Ho 3.54-3.55, 4 Pm 3.54-3.55, 2 Tm 3.55
Ho  0.3333  0.3333  0.5000  6 Ho 3.54-3.55, 4 Pm 3.54-3.55, 2 Tm 3.55
Ho  0.3338  0.0006  0.5000  8 Ho 3.53-3.55, 1 Tm 3.55, 3 Pm 3.55-3.56
Ho  0.4994  0.8338  0.0000  8 Ho 3.53-3.55, 1 Tm 3.55, 3 Pm 3.55-3.56
Ho  0.5006  0.1662  0.0000  8 Ho 3.53-3.55, 1 Tm 3.55, 3 Pm 3.55-3.56
Ho  0.6662  0.9994  0.5000  8 Ho 3.53-3.55, 1 Tm 3.55, 3 Pm 3.55-3.56
Ho  0.6667  0.6667  0.5000  6 Ho 3.54-3.55, 4 Pm 3.54-3.55, 2 Tm 3.55
Ho  0.8333  0.1667  0.0000  6 Ho 3.54-3.55, 4 Pm 3.54-3.55, 2 Tm 3.55
Ho  0.8338  0.4994  0.0000  8 Ho 3.53-3.55, 1 Tm 3.55, 3 Pm 3.55-3.56
Ho  0.9994  0.6662  0.5000  8 Ho 3.53-3.55, 1 Tm 3.55, 3 Pm 3.55-3.56
Tm  0.0000  0.0000  0.5000  4 Pm 3.54, 8 Ho 3.55
Tm  0.5000  0.5000  0.0000  4 Pm 3.54, 8 Ho 3.55

Computed properties:
Density of states at the Fermi level, states/eV/f.u.: 11.3
E above lowest polymorph, kJ/mol of formula units: 0
DFT formation energy, eV/atom: 0.020
Crystal system: tetragonal